{
  "formula": "CaSb4Au",
  "functional": "PBE",
  "state": "relaxed",
  "cell": [[0.000, 4.401, 4.401], [4.401, 0.000, 4.401], [4.401, 4.401, 0.000]],
  "species": ["Ca", "Sb", "Sb", "Sb", "Sb", "Au"],
  "frac_coords": [[0.000, 0.000, 0.000], [0.129, 0.624, 0.624], [0.624, 0.129, 0.624], [0.624, 0.624, 0.129], [0.624, 0.624, 0.624], [0.250, 0.250, 0.250]],
  "spacegroup": "F-43m, No. 216",
  "energy_ev_per_fu": -22.04,
  "volume_a3_per_cell": 170.46
}

---

{
  "formula": "HgPtPb2N",
  "functional": "PBE",
  "state": "relaxed",
  "cell": [[5.633, 0.000, 0.000], [0.000, 5.633, 0.000], [0.000, 0.000, 3.748]],
  "species": ["Hg", "Pt", "Pb", "Pb", "N"],
  "frac_coords": [[0.000, 0.000, 0.000], [0.500, 0.500, 0.000], [0.000, 0.500, 0.500], [0.500, 0.000, 0.500], [0.500, 0.500, 0.500]],
  "spacegroup": "P4/mmm, No. 123",
  "energy_ev_per_fu": -20.91,
  "volume_a3_per_cell": 118.94
}

---

{
  "formula": "La2Mg12Ga7",
  "functional": "PBE",
  "state": "relaxed",
  "cell": [[11.159, 0.000, 0.000], [-5.579, 9.664, 0.000], [0.000, 0.000, 4.336]],
  "species": ["La", "La", "Mg", "Mg", "Mg", "Mg", "Mg", "Mg", "Mg", "Mg", "Mg", "Mg", "Mg", "Mg", "Ga", "Ga", "Ga", "Ga", "Ga", "Ga", "Ga"],
  "frac_coords": [[0.333, 0.667, 0.261], [0.667, 0.333, 0.739], [0.044, 0.430, 0.751], [0.110, 0.265, 0.249], [0.155, 0.890, 0.249], [0.265, 0.155, 0.751], [0.386, 0.956, 0.751], [0.430, 0.386, 0.249], [0.570, 0.614, 0.751], [0.614, 0.044, 0.249], [0.735, 0.845, 0.249], [0.845, 0.110, 0.751], [0.890, 0.735, 0.751], [0.956, 0.570, 0.249], [0.000, 0.000, 0.500], [0.133, 0.710, 0.753], [0.290, 0.423, 0.753], [0.423, 0.133, 0.247], [0.577, 0.867, 0.753], [0.710, 0.577, 0.247], [0.867, 0.290, 0.247]],
  "spacegroup": "P-3, No. 147",
  "delta_e_f_ev_per_atom": -0.26,
  "energy_ev_per_fu": -55.69,
  "volume_a3_per_cell": 467.62
}

---

{
  "formula": "IrC2",
  "functional": "PBE",
  "state": "relaxed",
  "cell": [[2.789, 0.000, 0.000], [0.000, 3.731, 0.000], [0.000, 0.000, 13.765]],
  "species": ["Ir", "Ir", "Ir", "Ir", "C", "C", "C", "C", "C", "C", "C", "C"],
  "frac_coords": [[0.000, 0.000, 0.159], [0.000, 0.000, 0.841], [0.500, 0.500, 0.341], [0.500, 0.500, 0.659], [0.000, 0.500, 0.223], [0.000, 0.500, 0.452], [0.000, 0.500, 0.548], [0.000, 0.500, 0.777], [0.500, 0.000, 0.048], [0.500, 0.000, 0.277], [0.500, 0.000, 0.723], [0.500, 0.000, 0.952]],
  "spacegroup": "Immm, No. 71",
  "delta_e_f_ev_per_atom": 1.19,
  "energy_ev_per_fu": -23.73,
  "volume_a3_per_cell": 143.24,
  "de_polymorph_mev_per_atom": 603
}

---

{
  "formula": "Pr4As3I",
  "functional": "PBE",
  "state": "relaxed",
  "cell": [[8.827, 0.000, 0.000], [0.000, 12.368, 0.000], [0.000, 0.000, 4.334]],
  "species": ["Pr", "Pr", "Pr", "Pr", "Pr", "Pr", "Pr", "Pr", "As", "As", "As", "As", "As", "As", "I", "I"],
  "frac_coords": [[0.000, 0.238, 0.000], [0.000, 0.762, 0.000], [0.223, 0.000, 0.500], [0.277, 0.500, 0.500], [0.500, 0.262, 0.000], [0.500, 0.738, 0.000], [0.723, 0.500, 0.500], [0.777, 0.000, 0.500], [0.000, 0.000, 0.000], [0.250, 0.250, 0.500], [0.250, 0.750, 0.500], [0.500, 0.500, 0.000], [0.750, 0.250, 0.500], [0.750, 0.750, 0.500], [0.000, 0.500, 0.000], [0.500, 0.000, 0.000]],
  "spacegroup": "Cmmm, No. 65",
  "energy_ev_per_fu": -45.84,
  "volume_a3_per_cell": 473.17
}

---

{
  "formula": "Pu2TeRh",
  "functional": "PBE",
  "state": "relaxed",
  "cell": [[3.871, 0.000, 0.000], [0.000, 3.871, 0.000], [0.000, 0.000, 6.116]],
  "species": ["Pu", "Pu", "Te", "Rh"],
  "frac_coords": [[0.000, 0.000, 0.232], [0.000, 0.000, 0.768], [0.500, 0.500, 0.500], [0.500, 0.500, 0.000]],
  "spacegroup": "P4/mmm, No. 123",
  "energy_ev_per_fu": -41.49,
  "volume_a3_per_cell": 91.63,
  "de_polymorph_mev_per_atom": 66
}

---

{
  "formula": "LiMg2OsPb",
  "functional": "PBE",
  "state": "relaxed",
  "cell": [[5.277, 0.000, 0.000], [0.000, 5.277, 0.000], [0.000, 0.000, 4.867]],
  "species": ["Li", "Mg", "Mg", "Os", "Pb"],
  "frac_coords": [[0.000, 0.000, 0.000], [0.000, 0.500, 0.500], [0.500, 0.000, 0.500], [0.500, 0.500, 0.000], [0.000, 0.000, 0.500]],
  "spacegroup": "P4/mmm, No. 123",
  "delta_e_f_ev_per_atom": 1.32,
  "energy_ev_per_fu": -13.45,
  "volume_a3_per_cell": 135.55
}

---

{
  "formula": "CeNp2C",
  "functional": "PBE",
  "state": "relaxed",
  "cell": [[3.048, 0.000, 0.000], [0.000, 3.048, 0.000], [0.000, 0.000, 7.945]],
  "species": ["Ce", "Np", "Np", "C"],
  "frac_coords": [[0.000, 0.000, 0.000], [0.500, 0.500, 0.348], [0.500, 0.500, 0.652], [0.000, 0.000, 0.500]],
  "spacegroup": "P4/mmm, No. 123",
  "delta_e_f_ev_per_atom": 0.45,
  "energy_ev_per_fu": -39.25,
  "volume_a3_per_cell": 73.78,
  "de_polymorph_mev_per_atom": 94
}